The following is a DFT calculation (GGA-PBE) of a geometry-optimized KCd2Pb structure.

Geometry as CIF:
```
data_KCd2Pb
_space_group_name_H-M_alt 'C 1 2/m 1'
_space_group_IT_number 12
_cell_length_a 9.440
_cell_length_b 5.561
_cell_length_c 5.556
_cell_angle_alpha 90.00
_cell_angle_beta 125.71
_cell_angle_gamma 90.00
loop_
_space_group_symop_operation_xyz
'x,y,z'
'-x,-y,-z'
'-x,y,-z'
'x,-y,z'
'x+1/2,y+1/2,z'
'-x+1/2,-y+1/2,-z'
'-x+1/2,y+1/2,-z'
'x+1/2,-y+1/2,z'
loop_
_atom_site_label
_atom_site_type_symbol
_atom_site_fract_x
_atom_site_fract_y
_atom_site_fract_z
_atom_site_occupancy
K1 K 0.000 0.000 0.000 1
Cd1 Cd 0.250 0.000 0.750 1
Pb1 Pb 0.000 0.500 0.500 1
```

## Properties
* total moment: 0.00 Bohr magnetons per cell
* E above lowest polymorph: 81 meV per atom
* formation energy: -0.02 eV/atom